<one>
# Ti4H2N

An optimized crystal structure of Ti4H2N (PBE, the Alexandria database).

Summary:
Size of the total moment: 0.00 μB per formula unit

Lattice parameters (Å, degrees): 4.046 4.046 9.502 90.00 90.00 90.00
Element x y z (fractional)
Ti 0.000 0.000 0.223
Ti 0.000 0.000 0.777
Ti 0.000 0.500 0.000
Ti 0.000 0.500 0.500
Ti 0.500 0.000 0.000
Ti 0.500 0.000 0.500
Ti 0.500 0.500 0.277
Ti 0.500 0.500 0.723
H 0.000 0.000 0.419
H 0.000 0.000 0.581
H 0.500 0.500 0.081
H 0.500 0.500 0.919
N 0.000 0.000 0.000
N 0.500 0.500 0.500

=====

<two>
# Ti4H2N

An optimized crystal structure of Ti4H2N (PBE, the Alexandria database).

Summary:
Size of the total moment: 0.00 μB per formula unit

Lattice parameters (Å, degrees): 4.898 4.898 6.568 90.00 90.00 90.00
Element x y z (fractional)
Ti 0.238 0.238 0.125
Ti 0.238 0.762 0.875
Ti 0.262 0.262 0.625
Ti 0.262 0.738 0.375
Ti 0.738 0.262 0.375
Ti 0.738 0.738 0.625
Ti 0.762 0.238 0.875
Ti 0.762 0.762 0.125
H 0.000 0.500 0.250
H 0.000 0.500 0.750
H 0.500 0.000 0.250
H 0.500 0.000 0.750
N 0.000 0.000 0.500
N 0.500 0.500 0.000

=====

Stability, lowest: <two>

=====

<one>
# Ti4HN

An optimized crystal structure of Ti4HN (PBE, the Alexandria database).

Summary:
Size of the total moment: 0.00 μB per formula unit

Lattice parameters (Å, degrees): 5.782 4.925 5.823 90.00 115.31 90.00
Element x y z (fractional)
Ti 0.133 0.206 0.339
Ti 0.133 0.294 0.839
Ti 0.340 0.713 0.628
Ti 0.340 0.787 0.128
Ti 0.660 0.213 0.872
Ti 0.660 0.287 0.372
Ti 0.867 0.706 0.161
Ti 0.867 0.794 0.661
H 0.500 0.000 0.500
H 0.500 0.500 0.000
N 0.000 0.000 0.000
N 0.000 0.500 0.500

=====

<two>
# Ti4HN

An optimized crystal structure of Ti4HN (PBE, the Alexandria database).

Summary:
Size of the total moment: 0.00 μB per formula unit

Lattice parameters (Å, degrees): 5.816 5.816 5.816 107.07 107.07 114.39
Element x y z (fractional)
Ti 0.208 0.000 0.208
Ti 0.288 0.005 0.717
Ti 0.288 0.572 0.283
Ti 0.322 0.538 0.783
Ti 0.750 0.042 0.292
Ti 0.750 0.458 0.708
Ti 0.755 0.538 0.217
Ti 0.792 0.000 0.792
H 0.225 0.225 0.000
H 0.975 0.475 0.500
N 0.518 0.018 0.500
N 0.768 0.768 0.000

=====

Stability, lowest: <one>

=====

<one>
# Ti3HN

An optimized crystal structure of Ti3HN (PBE, the Alexandria database).

Summary:
Size of the total moment: 0.00 μB per formula unit

Lattice parameters (Å, degrees): 2.939 8.004 4.801 90.00 90.00 90.00
Element x y z (fractional)
Ti 0.000 0.000 0.000
Ti 0.000 0.500 0.405
Ti 0.500 0.166 0.471
Ti 0.500 0.332 0.956
Ti 0.500 0.668 0.956
Ti 0.500 0.834 0.471
H 0.000 0.000 0.588
H 0.500 0.500 0.665
N 0.000 0.249 0.212
N 0.000 0.751 0.212

=====

<two>
# Ti3HN

An optimized crystal structure of Ti3HN (PBE, the Alexandria database).

Summary:
Size of the total moment: 0.00 μB per formula unit

Lattice parameters (Å, degrees): 4.054 4.054 4.054 90.00 90.00 90.00
Element x y z (fractional)
Ti 0.000 0.000 0.500
Ti 0.000 0.500 0.000
Ti 0.500 0.000 0.000
H 0.500 0.500 0.500
N 0.000 0.000 0.000

=====

Stability, lowest: <two>

=====

<one>
# TiHN2

An optimized crystal structure of TiHN2 (PBE, the Alexandria database).

Summary:
Size of the total moment: 1.00 μB per formula unit

Lattice parameters (Å, degrees): 3.980 3.980 9.701 90.00 90.00 90.00
Element x y z (fractional)
Ti 0.000 0.000 0.000
Ti 0.000 0.500 0.250
Ti 0.500 0.000 0.750
Ti 0.500 0.500 0.500
H 0.000 0.000 0.500
H 0.000 0.500 0.750
H 0.500 0.000 0.250
H 0.500 0.500 0.000
N 0.220 0.250 0.625
N 0.250 0.720 0.875
N 0.250 0.780 0.375
N 0.280 0.250 0.125
N 0.720 0.750 0.125
N 0.750 0.220 0.375
N 0.750 0.280 0.875
N 0.780 0.750 0.625

=====

<two>
# TiHN2

An optimized crystal structure of TiHN2 (PBE, the Alexandria database).

Summary:
Size of the total moment: 0.00 μB per formula unit

Lattice parameters (Å, degrees): 4.971 4.971 4.971 90.00 90.00 90.00
Element x y z (fractional)
Ti 0.000 0.000 0.000
Ti 0.000 0.500 0.500
Ti 0.500 0.000 0.500
Ti 0.500 0.500 0.000
H 0.000 0.000 0.500
H 0.000 0.500 0.000
H 0.500 0.000 0.000
H 0.500 0.500 0.500
N 0.250 0.250 0.250
N 0.250 0.250 0.750
N 0.250 0.750 0.250
N 0.250 0.750 0.750
N 0.750 0.250 0.250
N 0.750 0.250 0.750
N 0.750 0.750 0.250
N 0.750 0.750 0.750

=====

<three>
# TiHN2

An optimized crystal structure of TiHN2 (PBE, the Alexandria database).

Summary:
Size of the total moment: 0.00 μB per formula unit

Lattice parameters (Å, degrees): 3.073 3.073 13.757 90.00 90.00 120.00
Element x y z (fractional)
Ti 0.000 0.000 0.000
Ti 0.333 0.667 0.667
Ti 0.667 0.333 0.333
H 0.000 0.000 0.500
H 0.333 0.667 0.167
H 0.667 0.333 0.833
N 0.000 0.000 0.409
N 0.000 0.000 0.591
N 0.333 0.667 0.075
N 0.333 0.667 0.258
N 0.667 0.333 0.742
N 0.667 0.333 0.925

=====

Stability, lowest: <two>

=====

<one>
# Ti2HN

An optimized crystal structure of Ti2HN (PBE, the Alexandria database).

Summary:
Size of the total moment: 0.00 μB per formula unit

Lattice parameters (Å, degrees): 3.034 3.034 16.991 90.00 90.00 120.00
Element x y z (fractional)
Ti 0.000 0.000 0.099
Ti 0.000 0.000 0.901
Ti 0.333 0.667 0.568
Ti 0.333 0.667 0.766
Ti 0.667 0.333 0.234
Ti 0.667 0.333 0.432
H 0.000 0.000 0.000
H 0.333 0.667 0.667
H 0.667 0.333 0.333
N 0.000 0.000 0.500
N 0.333 0.667 0.167
N 0.667 0.333 0.833

=====

<two>
# Ti2HN

An optimized crystal structure of Ti2HN (PBE, the Alexandria database).

Summary:
Size of the total moment: 0.00 μB per formula unit

Lattice parameters (Å, degrees): 4.827 4.827 7.650 90.00 90.00 90.00
Element x y z (fractional)
Ti 0.247 0.250 0.125
Ti 0.250 0.747 0.375
Ti 0.250 0.753 0.875
Ti 0.253 0.250 0.625
Ti 0.747 0.750 0.625
Ti 0.750 0.247 0.875
Ti 0.750 0.253 0.375
Ti 0.753 0.750 0.125
H 0.000 0.000 0.000
H 0.000 0.500 0.250
H 0.500 0.000 0.750
H 0.500 0.500 0.500
N 0.000 0.000 0.500
N 0.000 0.500 0.750
N 0.500 0.000 0.250
N 0.500 0.500 0.000

=====

<three>
# Ti2HN

An optimized crystal structure of Ti2HN (PBE, the Alexandria database).

Summary:
Size of the total moment: 0.00 μB per formula unit

Lattice parameters (Å, degrees): 4.220 4.220 8.570 90.00 90.00 90.00
Element x y z (fractional)
Ti 0.000 0.250 0.112
Ti 0.000 0.250 0.638
Ti 0.000 0.750 0.362
Ti 0.000 0.750 0.888
Ti 0.500 0.250 0.388
Ti 0.500 0.250 0.862
Ti 0.500 0.750 0.138
Ti 0.500 0.750 0.612
H 0.000 0.250 0.375
H 0.000 0.750 0.625
H 0.500 0.250 0.125
H 0.500 0.750 0.875
N 0.000 0.250 0.875
N 0.000 0.750 0.125
N 0.500 0.250 0.625
N 0.500 0.750 0.375

=====

<four>
# Ti2HN

An optimized crystal structure of Ti2HN (PBE, the Alexandria database).

Summary:
Size of the total moment: 0.00 μB per formula unit

Lattice parameters (Å, degrees): 5.190 5.910 5.134 90.00 90.00 90.00
Element x y z (fractional)
Ti 0.244 0.132 0.000
Ti 0.244 0.868 0.500
Ti 0.256 0.368 0.500
Ti 0.256 0.632 0.000
Ti 0.744 0.368 0.500
Ti 0.744 0.632 0.000
Ti 0.756 0.132 0.000
Ti 0.756 0.868 0.500
H 0.000 0.369 0.817
H 0.000 0.631 0.317
H 0.500 0.131 0.317
H 0.500 0.869 0.817
N 0.000 0.120 0.333
N 0.000 0.880 0.833
N 0.500 0.380 0.833
N 0.500 0.620 0.333

=====

Stability, lowest: <four>

=====

<one>
# Ti8HN2

An optimized crystal structure of Ti8HN2 (PBE, the Alexandria database).

Summary:
Size of the total moment: 0.00 μB per formula unit

Lattice parameters (Å, degrees): 5.908 5.908 4.351 90.13 90.13 74.45
Element x y z (fractional)
Ti 0.111 0.111 0.251
Ti 0.172 0.606 0.247
Ti 0.329 0.329 0.752
Ti 0.394 0.828 0.753
Ti 0.606 0.172 0.247
Ti 0.671 0.671 0.248
Ti 0.828 0.394 0.753
Ti 0.889 0.889 0.749
H 0.500 0.500 0.500
N 0.114 0.114 0.750
N 0.886 0.886 0.250

=====

<two>
# Ti8HN2

An optimized crystal structure of Ti8HN2 (PBE, the Alexandria database).

Summary:
Size of the total moment: 0.00 μB per formula unit

Lattice parameters (Å, degrees): 5.936 5.936 5.149 108.47 108.47 59.79
Element x y z (fractional)
Ti 0.122 0.627 0.750
Ti 0.126 0.126 0.747
Ti 0.373 0.373 0.253
Ti 0.373 0.878 0.250
Ti 0.627 0.122 0.750
Ti 0.627 0.627 0.747
Ti 0.874 0.874 0.253
Ti 0.878 0.373 0.250
H 0.500 0.500 0.000
N 0.251 0.251 0.502
N 0.749 0.749 0.498

=====

Stability, lowest: <two>

=====

<one>
# Ti4H5N

An optimized crystal structure of Ti4H5N (PBE, the Alexandria database).

Summary:
Size of the total moment: 0.00 μB per formula unit

Lattice parameters (Å, degrees): 2.972 4.786 5.925 91.38 104.24 90.21
Element x y z (fractional)
Ti 0.000 0.000 0.000
Ti 0.115 0.502 0.245
Ti 0.388 0.500 0.782
Ti 0.730 0.995 0.466
H 0.245 0.256 0.495
H 0.250 0.744 0.508
H 0.537 0.265 0.076
H 0.867 0.754 0.740
H 0.869 0.241 0.745
N 0.559 0.754 0.125

=====

<two>
# Ti4H5N

An optimized crystal structure of Ti4H5N (PBE, the Alexandria database).

Summary:
Size of the total moment: 0.67 μB per formula unit

Lattice parameters (Å, degrees): 5.999 5.999 5.999 150.84 125.16 63.31
Element x y z (fractional)
Ti 0.210 0.210 0.000
Ti 0.257 0.500 0.757
Ti 0.743 0.500 0.243
Ti 0.790 0.790 0.000
H 0.029 0.315 0.714
H 0.399 0.685 0.714
H 0.500 0.000 0.500
H 0.601 0.315 0.286
H 0.971 0.685 0.286
N 0.000 0.000 0.000

=====

Stability, lowest: <two>

=====

<one>
# Ti4HN2

An optimized crystal structure of Ti4HN2 (PBE, the Alexandria database).

Summary:
Size of the total moment: 0.00 μB per formula unit

Lattice parameters (Å, degrees): 3.432 3.432 12.035 90.00 90.00 90.00
Element x y z (fractional)
Ti 0.000 0.000 0.182
Ti 0.000 0.000 0.818
Ti 0.000 0.500 0.000
Ti 0.000 0.500 0.500
Ti 0.500 0.000 0.000
Ti 0.500 0.000 0.500
Ti 0.500 0.500 0.318
Ti 0.500 0.500 0.682
H 0.000 0.000 0.000
H 0.500 0.500 0.500
N 0.000 0.000 0.364
N 0.000 0.000 0.636
N 0.500 0.500 0.136
N 0.500 0.500 0.864

=====

<two>
# Ti4HN2

An optimized crystal structure of Ti4HN2 (PBE, the Alexandria database).

Summary:
Size of the total moment: 0.00 μB per formula unit

Lattice parameters (Å, degrees): 5.834 5.831 7.021 53.02 52.97 74.01
Element x y z (fractional)
Ti 0.001 0.499 0.204
Ti 0.010 0.505 0.789
Ti 0.046 0.954 0.249
Ti 0.461 0.554 0.240
Ti 0.499 0.001 0.296
Ti 0.505 0.010 0.696
Ti 0.554 0.461 0.745
Ti 0.954 0.046 0.751
H 0.126 0.126 0.874
H 0.376 0.376 0.124
N 0.004 0.503 0.496
N 0.254 0.754 0.747
N 0.503 0.004 0.996
N 0.754 0.254 0.246

=====

<three>
# Ti4HN2

An optimized crystal structure of Ti4HN2 (PBE, the Alexandria database).

Summary:
Size of the total moment: 1.07 μB per formula unit

Lattice parameters (Å, degrees): 6.423 6.423 5.232 90.00 90.00 90.00
Element x y z (fractional)
Ti 0.099 0.699 0.000
Ti 0.199 0.401 0.500
Ti 0.301 0.099 0.000
Ti 0.401 0.801 0.500
Ti 0.599 0.199 0.500
Ti 0.699 0.901 0.000
Ti 0.801 0.599 0.500
Ti 0.901 0.301 0.000
H 0.000 0.000 0.000
H 0.500 0.500 0.500
N 0.000 0.500 0.250
N 0.000 0.500 0.750
N 0.500 0.000 0.250
N 0.500 0.000 0.750

=====

Stability, lowest: <one>

=====

<one>
# Tl2HN2

An optimized crystal structure of Tl2HN2 (PBE, the Alexandria database).

Summary:
Size of the total moment: 0.00 μB per formula unit

Lattice parameters (Å, degrees): 5.111 5.111 8.022 90.00 90.00 90.00
Element x y z (fractional)
Tl 0.000 0.500 0.250
Tl 0.000 0.500 0.750
Tl 0.500 0.000 0.250
Tl 0.500 0.000 0.750
H 0.000 0.000 0.000
H 0.500 0.500 0.500
N 0.000 0.000 0.428
N 0.000 0.000 0.572
N 0.500 0.500 0.072
N 0.500 0.500 0.928

=====

<two>
# Tl2HN2

An optimized crystal structure of Tl2HN2 (PBE, the Alexandria database).

Summary:
Size of the total moment: 1.18 μB per formula unit

Lattice parameters (Å, degrees): 6.611 6.611 3.232 90.00 90.00 90.00
Element x y z (fractional)
Tl 0.171 0.329 0.000
Tl 0.329 0.829 0.000
Tl 0.671 0.171 0.000
Tl 0.829 0.671 0.000
H 0.000 0.000 0.000
H 0.500 0.500 0.000
N 0.144 0.644 0.500
N 0.356 0.144 0.500
N 0.644 0.856 0.500
N 0.856 0.356 0.500

=====

Stability, lowest: <two>